Ca2CeCoO6 | GGA+U | relaxed

## Properties
Crystal system: monoclinic
VASP energy, Ry/atom: -0.5049

```
data_Ca2CeCoO6
_cell_length_a 5.564
_cell_length_b 5.705
_cell_length_c 9.615
_cell_angle_alpha 90.00
_cell_angle_beta 124.26
_cell_angle_gamma 90.00
_symmetry_space_group_name_H-M 'P 1 21/c 1'
_symmetry_Int_Tables_number 14
_symmetry_space_group_name_Hall '-P 2ybc'
loop_
_atom_site_label
_atom_site_type_symbol
_atom_site_fract_x
_atom_site_fract_y
_atom_site_fract_z
Ca1 Ca 0.231 0.052 0.248
Ce1 Ce 0.500 0.000 0.000
Co1 Co 0.000 0.000 0.500
O1 O 0.130 0.225 0.946
O2 O 0.222 0.690 0.948
O3 O 0.328 0.034 0.729
```